[1]
Density functional theory data (PBEsol) for crystalline LaSnAsH2 at its relaxed geometry.

a b c (Å): 4.277 4.277 5.992
angles (deg): 90.00 90.00 90.00
Element x y z (fractional)
La 0.000 0.000 0.000
Sn 0.500 0.500 0.500
As 0.000 0.000 0.500
H 0.000 0.500 0.000
H 0.500 0.000 0.000

Values from the calculation:
Electronic total energy = -4.349 eV per atom


[2]
Density functional theory data (PBEsol) for crystalline AgTe2Mo at its relaxed geometry.

a b c (Å): 3.457 3.457 24.737
angles (deg): 90.00 90.00 120.00
Element x y z (fractional)
Ag 0.000 0.000 0.000
Ag 0.333 0.667 0.667
Ag 0.667 0.333 0.333
Te 0.000 0.000 0.242
Te 0.000 0.000 0.758
Te 0.333 0.667 0.425
Te 0.333 0.667 0.909
Te 0.667 0.333 0.091
Te 0.667 0.333 0.575
Mo 0.000 0.000 0.500
Mo 0.333 0.667 0.167
Mo 0.667 0.333 0.833

Values from the calculation:
Energy relative to the elements, uncorrected = 91 meV per atom
Offset from the most stable computed form = 0 meV per atom


[3]
Density functional theory data (PBEsol) for crystalline TlTe3 at its relaxed geometry.

a b c (Å): 4.115 5.742 10.288
angles (deg): 90.00 90.00 90.00
Element x y z (fractional)
Tl 0.000 0.000 0.000
Tl 0.500 0.500 0.500
Te 0.000 0.000 0.500
Te 0.000 0.500 0.212
Te 0.000 0.500 0.788
Te 0.500 0.000 0.288
Te 0.500 0.000 0.712
Te 0.500 0.500 0.000

Values from the calculation:
Energy relative to the elements, uncorrected = -29 meV per atom


[4]
Density functional theory data (PBEsol) for crystalline KTl2Ag at its relaxed geometry.

a b c (Å): 3.557 3.557 8.392
angles (deg): 90.00 90.00 90.00
Element x y z (fractional)
K 0.000 0.000 0.000
Tl 0.500 0.500 0.303
Tl 0.500 0.500 0.697
Ag 0.000 0.000 0.500

Values from the calculation:
Formation energy = -0.03 eV/atom


[5]
Density functional theory data (PBEsol) for crystalline LaPF2 at its relaxed geometry.

a b c (Å): 3.240 3.240 28.723
angles (deg): 90.00 90.00 120.00
Element x y z (fractional)
La 0.000 0.000 0.000
La 0.333 0.667 0.667
La 0.667 0.333 0.333
P 0.000 0.000 0.500
P 0.333 0.667 0.167
P 0.667 0.333 0.833
F 0.000 0.000 0.386
F 0.000 0.000 0.614
F 0.333 0.667 0.053
F 0.333 0.667 0.281
F 0.667 0.333 0.719
F 0.667 0.333 0.947

Values from the calculation:
Energy relative to the elements, uncorrected = -1687 meV per atom
Offset from the most stable computed form = 585 meV per atom


[6]
Density functional theory data (PBEsol) for crystalline Li2ZrCuAu at its relaxed geometry.

a b c (Å): 5.006 5.006 4.684
angles (deg): 90.00 90.00 90.00
Element x y z (fractional)
Li 0.000 0.500 0.000
Li 0.500 0.000 0.000
Zr 0.000 0.000 0.000
Cu 0.000 0.000 0.500
Au 0.500 0.500 0.500

Values from the calculation:
Formation energy = 1.40 eV/atom


[7]
Density functional theory data (PBEsol) for crystalline Na2CdSi2O6 at its relaxed geometry.

a b c (Å): 10.435 7.479 10.524
angles (deg): 90.00 90.00 90.00
Element x y z (fractional)
Na 0.000 0.008 0.000
Na 0.000 0.225 0.765
Na 0.225 0.784 0.006
Na 0.241 0.729 0.482
Na 0.259 0.271 0.982
Na 0.275 0.216 0.506
Na 0.500 0.775 0.265
Na 0.500 0.992 0.500
Na 0.725 0.216 0.506
Na 0.741 0.271 0.982
Na 0.759 0.729 0.482
Na 0.775 0.784 0.006
Cd 0.000 0.234 0.236
Cd 0.000 0.483 0.490
Cd 0.000 0.750 0.240
Cd 0.500 0.250 0.740
Cd 0.500 0.517 0.990
Cd 0.500 0.766 0.736
Si 0.000 0.000 0.525
Si 0.000 0.500 0.961
Si 0.223 0.531 0.748
Si 0.223 0.969 0.736
Si 0.277 0.031 0.236
Si 0.277 0.469 0.248
Si 0.500 0.000 0.025
Si 0.500 0.500 0.461
Si 0.723 0.031 0.236
Si 0.723 0.469 0.248
Si 0.777 0.531 0.748
Si 0.777 0.969 0.736
O 0.000 0.179 0.436
O 0.000 0.320 0.045
O 0.000 0.694 0.025
O 0.000 0.803 0.461
O 0.125 0.474 0.864
O 0.126 0.027 0.618
O 0.135 0.523 0.301
O 0.135 0.978 0.187
O 0.172 0.046 0.868
O 0.175 0.449 0.614
O 0.220 0.749 0.737
O 0.280 0.251 0.237
O 0.325 0.551 0.114
O 0.328 0.954 0.368
O 0.365 0.022 0.687
O 0.365 0.477 0.801
O 0.374 0.973 0.118
O 0.375 0.526 0.364
O 0.500 0.197 0.961
O 0.500 0.306 0.525
O 0.500 0.680 0.545
O 0.500 0.821 0.936
O 0.625 0.526 0.364
O 0.626 0.973 0.118
O 0.635 0.022 0.687
O 0.635 0.477 0.801
O 0.672 0.954 0.368
O 0.675 0.551 0.114
O 0.720 0.251 0.237
O 0.780 0.749 0.737
O 0.825 0.449 0.614
O 0.828 0.046 0.868
O 0.865 0.523 0.301
O 0.865 0.978 0.187
O 0.874 0.027 0.618
O 0.875 0.474 0.864

Values from the calculation:
Energy relative to the elements, uncorrected = -2254 meV per atom


[8]
Density functional theory data (PBEsol) for crystalline NiIrPt2 at its relaxed geometry.

a b c (Å): 2.724 3.770 5.341
angles (deg): 90.00 90.00 90.00
Element x y z (fractional)
Ni 0.000 0.000 0.000
Ir 0.000 0.000 0.500
Pt 0.500 0.500 0.246
Pt 0.500 0.500 0.754

Values from the calculation:
Formation energy = 0.02 eV/atom
Offset from the most stable computed form = 25 meV per atom


Quick rundown of density of states at the Fermi level, same order as above: 0.485 0.600 0.460 0.425 0.676 0.662 0.000 1.630 states/eV per atom
Quick rundown of mass density, same order as above: 5.07 8.93 8.02 8.69 3.97 5.17 3.77 19.41 g/cm³
Quick rundown of V, same order as above: 109.6 256.0 243.1 106.2 261.1 117.4 821.3 54.8 Å³ per cell